CeSmRh4 | PBE | optimized geometry

The structure belongs to space group F-43m (No. 216); the cell edges are 7.598, 7.598 and 7.598 Å and the angles 90.00°, 90.00° and 90.00°. The asymmetric unit holds Ce at (0.000, 0.000, 0.000), Sm at (0.250, 0.250, 0.750) and Rh at (0.125, 0.125, 0.375).

As for the total moment: 0.0 μB/f.u. As for the calculated formation energy: -693 meV/atom.